LiPr2MnO6 | PBE+U | optimized geometry

a = 5.419 Å, b = 5.739 Å, c = 9.373 Å
α = 90.00°, β = 124.69°, γ = 90.00°
Space group P2_1/c (No. 14)
Inequivalent atoms, fractional coordinates:
Li: 0.000 0.000 0.000 (multiplicity 2)
Pr: 0.233 0.066 0.749 (multiplicity 4)
Mn: 0.500 0.000 0.500 (multiplicity 2)
O: 0.171 0.189 0.460 (multiplicity 4)
O: 0.271 0.719 0.456 (multiplicity 4)
O: 0.339 0.021 0.258 (multiplicity 4)

Computed properties:
As for the total DFT energy (no corrections): -7.262 eV per atom. The calculation puts the density of states at the Fermi level at 15.04 states/eV/cell.